Entry 1:
Below is crystalline InHgAu2 at its relaxed geometry, with properties calculated at the PBE level.

Cell lengths 9.3721, 3.7225, 5.0035 Å; angles 90.00, 102.70, 90.00 degrees
With the nearest neighbours (Å) after each atom.
Fractional coordinates of all 8 atoms:
In1 0.0000 0.0000 0.0000  5 Au 2.85-3.00, 1 Hg 2.95
In2 0.5000 0.5000 0.0000  5 Au 2.85-3.00, 1 Hg 2.95
Hg1 0.2640 0.5000 0.3058  7 Au 2.84-3.17, 1 In 2.95
Hg2 0.7640 0.0000 0.3058  7 Au 2.84-3.17, 1 In 2.95
Au1 0.0135 0.5000 0.5369  3 Hg 2.84-3.01, 3 Au 2.94-3.02, 2 In 3.00
Au2 0.2592 0.0000 0.7903  3 In 2.85-2.94, 3 Au 2.94-3.02, 4 Hg 3.06-3.17
Au3 0.5135 0.0000 0.5369  3 Hg 2.84-3.01, 3 Au 2.94-3.02, 2 In 3.00
Au4 0.7592 0.5000 0.7903  3 In 2.85-2.94, 3 Au 2.94-3.02, 4 Hg 3.06-3.17

Properties
- calculated density (Mg/m³) = 13.8
- ΔE_f (eV per atom) = -0.028

=====

Entry 2:
Below is crystalline In6HgAu12 at its relaxed geometry, with properties calculated at the PBE level.

Cell lengths 7.6286, 7.7958, 7.8827 Å; angles 103.96, 105.59, 104.93 degrees
With the nearest neighbours (Å) after each atom.
Fractional coordinates of all 19 atoms:
In1 0.0033 0.2197 0.4967  7 Au 2.78-2.98
In2 0.2809 0.9974 0.9998  7 Au 2.79-2.98
In3 0.4974 0.5032 0.2753  7 Au 2.78-2.95
In4 0.5026 0.4968 0.7247  7 Au 2.78-2.95
In5 0.7191 0.0026 0.0002  7 Au 2.79-2.98
In6 0.9967 0.7803 0.5033  7 Au 2.78-2.98
Hg1 0.0000 0.5000 0.0000  6 Au 2.86-2.89
Au1 0.1154 0.2520 0.1886  3 Au 2.82-2.89, 4 In 2.83-2.94, 1 Hg 2.88
Au2 0.1881 0.6117 0.7507  4 In 2.81-2.95, 3 Au 2.85-2.90, 1 Hg 2.89
Au3 0.2264 0.9989 0.3600  3 In 2.78-2.98, 5 Au 2.82-2.96
Au4 0.2388 0.3043 0.8826  4 In 2.83-2.95, 3 Au 2.83-2.90, 1 Hg 2.86
Au5 0.3738 0.7324 0.5103  3 In 2.78-2.98, 5 Au 2.85-2.96
Au6 0.4800 0.1229 0.7564  3 In 2.79-2.95, 5 Au 2.83-2.96
Au7 0.5200 0.8771 0.2436  3 In 2.79-2.95, 5 Au 2.83-2.96
Au8 0.6262 0.2676 0.4897  3 In 2.78-2.98, 5 Au 2.85-2.96
Au9 0.7612 0.6957 0.1174  4 In 2.83-2.95, 3 Au 2.83-2.90, 1 Hg 2.86
Au10 0.7736 0.0011 0.6400  3 In 2.78-2.98, 5 Au 2.82-2.96
Au11 0.8119 0.3883 0.2493  4 In 2.81-2.95, 3 Au 2.85-2.90, 1 Hg 2.89
Au12 0.8846 0.7480 0.8114  3 Au 2.82-2.89, 4 In 2.83-2.94, 1 Hg 2.88

Properties
- calculated density (Mg/m³) = 13.1
- ΔE_f (eV per atom) = -0.113

=====

Entry 3:
Below is crystalline In2HgAu at its relaxed geometry, with properties calculated at the PBE level.

Cell lengths 3.2960, 3.5850, 8.4932 Å; angles 90.00, 94.57, 90.00 degrees
With the nearest neighbours (Å) after each atom.
Fractional coordinates of all 4 atoms:
In1 0.0509 0.0000 0.2073  4 Au 2.99-3.02, 2 Hg 3.08, 2 In 3.30
In2 0.9491 0.0000 0.7927  4 Au 2.99-3.02, 2 Hg 3.08, 2 In 3.30
Hg1 0.0000 0.5000 0.5000  4 In 3.08, 2 Hg 3.30
Au1 0.5000 0.5000 0.0000  8 In 2.99-3.02, 2 Au 3.30

Properties
- calculated density (Mg/m³) = 10.4
- ΔE_f (eV per atom) = -0.087

=====

Entry 4:
Below is crystalline In2HgAu at its relaxed geometry, with properties calculated at the PBE level.

Cell lengths 8.0604, 8.0604, 6.3045 Å; angles 90.00, 90.00, 90.00 degrees
With the nearest neighbours (Å) after each atom.
Fractional coordinates of all 16 atoms:
In1 0.2251 0.7500 0.1250  2 Au 2.82, 2 Hg 3.10
In2 0.2500 0.2251 0.8750  2 Au 2.82, 2 Hg 3.10
In3 0.2500 0.2749 0.3750  2 Au 2.82, 2 Hg 3.10
In4 0.2749 0.7500 0.6250  2 Au 2.82, 2 Hg 3.10
In5 0.7251 0.2500 0.6250  2 Au 2.82, 2 Hg 3.10
In6 0.7500 0.7251 0.3750  2 Au 2.82, 2 Hg 3.10
In7 0.7500 0.7749 0.8750  2 Au 2.82, 2 Hg 3.10
In8 0.7749 0.2500 0.1250  2 Au 2.82, 2 Hg 3.10
Hg1 0.0000 0.0000 0.5000  4 In 3.10, 2 Au 3.15
Hg2 0.0000 0.5000 0.7500  4 In 3.10, 2 Au 3.15
Hg3 0.5000 0.0000 0.2500  4 In 3.10, 2 Au 3.15
Hg4 0.5000 0.5000 0.0000  4 In 3.10, 2 Au 3.15
Au1 0.0000 0.0000 0.0000  4 In 2.82, 2 Hg 3.15
Au2 0.0000 0.5000 0.2500  4 In 2.82, 2 Hg 3.15
Au3 0.5000 0.0000 0.7500  4 In 2.82, 2 Hg 3.15
Au4 0.5000 0.5000 0.5000  4 In 2.82, 2 Hg 3.15

Properties
- calculated density (Mg/m³) = 10.2
- ΔE_f (eV per atom) = -0.030

=====

Entry 5:
Below is crystalline In2HgAu at its relaxed geometry, with properties calculated at the PBE level.

Cell lengths 3.7227, 3.7227, 25.0428 Å; angles 90.00, 90.00, 120.00 degrees
With the nearest neighbours (Å) after each atom.
Fractional coordinates of all 12 atoms:
In1 0.0000 0.0000 0.2419  3 Au 2.86, 3 Hg 3.14
In2 0.0000 0.0000 0.7581  3 Au 2.86, 3 Hg 3.14
In3 0.3333 0.6667 0.4247  3 Au 2.86, 3 Hg 3.14
In4 0.3333 0.6667 0.9086  3 Au 2.86, 3 Hg 3.14
In5 0.6667 0.3333 0.0914  3 Au 2.86, 3 Hg 3.14
In6 0.6667 0.3333 0.5753  3 Au 2.86, 3 Hg 3.14
Hg1 0.0000 0.0000 0.0000  6 In 3.14
Hg2 0.3333 0.6667 0.6667  6 In 3.14
Hg3 0.6667 0.3333 0.3333  6 In 3.14
Au1 0.0000 0.0000 0.5000  6 In 2.86
Au2 0.3333 0.6667 0.1667  6 In 2.86
Au3 0.6667 0.3333 0.8333  6 In 2.86

Properties
- calculated density (Mg/m³) = 10.4
- ΔE_f (eV per atom) = -0.101

=====

Entry 6:
Below is crystalline InHg2Au6 at its relaxed geometry, with properties calculated at the PBE level.

Cell lengths 9.5636, 9.5636, 5.0390 Å; angles 90.69, 90.69, 127.36 degrees
With the nearest neighbours (Å) after each atom.
Fractional coordinates of all 18 atoms:
In1 0.2272 0.7728 0.7500  10 Au 2.84-3.00
In2 0.7728 0.2272 0.2500  10 Au 2.84-3.00
Hg1 0.2228 0.3427 0.5003  7 Au 2.83-3.14
Hg2 0.3427 0.2228 0.0003  7 Au 2.83-3.14
Hg3 0.6573 0.7772 0.9997  7 Au 2.83-3.14
Hg4 0.7772 0.6573 0.4997  7 Au 2.83-3.14
Au1 0.0021 0.8465 0.9972  5 Au 2.82-2.96, 1 In 2.93, 4 Hg 2.94-3.14
Au2 0.0491 0.6032 0.2606  3 In 2.84-3.00, 6 Au 2.92-3.04
Au3 0.1535 0.9979 0.5028  5 Au 2.82-2.96, 1 In 2.93, 4 Hg 2.94-3.14
Au4 0.2858 0.5317 0.0068  3 Hg 2.83-2.94, 5 Au 2.86-3.05, 1 In 2.99
Au5 0.3968 0.9509 0.2394  3 In 2.84-3.00, 6 Au 2.92-3.04
Au6 0.4683 0.7142 0.4932  3 Hg 2.83-2.94, 5 Au 2.86-3.05, 1 In 2.99
Au7 0.5317 0.2858 0.5068  3 Hg 2.83-2.94, 5 Au 2.86-3.05, 1 In 2.99
Au8 0.6032 0.0491 0.7606  3 In 2.84-3.00, 6 Au 2.92-3.04
Au9 0.7142 0.4683 0.9932  3 Hg 2.83-2.94, 5 Au 2.86-3.05, 1 In 2.99
Au10 0.8465 0.0021 0.4972  5 Au 2.82-2.96, 1 In 2.93, 4 Hg 2.94-3.14
Au11 0.9509 0.3968 0.7394  3 In 2.84-3.00, 6 Au 2.92-3.04
Au12 0.9979 0.1535 0.0028  5 Au 2.82-2.96, 1 In 2.93, 4 Hg 2.94-3.14

Properties
- calculated density (Mg/m³) = 15.4
- ΔE_f (eV per atom) = 0.004